Entry 1:
First-principles (PBE-GGA) data for a relaxed structure of Ba2GdOsN6, as listed in the Open Quantum Materials Database.

Spin magnetization, μB/f.u.: 0.06
Energy, eV/atom: -6.979

Lattice parameters (Å, degrees): 6.050 6.050 6.050 60.08 60.08 60.08
Sites, in units of the cell vectors:
Ba1 0.250 0.250 0.250
Ba2 0.750 0.750 0.750
Gd1 0.000 0.000 0.000
Os1 0.500 0.500 0.500
N1 0.270 0.727 0.274
N2 0.273 0.726 0.730
N3 0.274 0.270 0.727
N4 0.726 0.730 0.273
N5 0.727 0.274 0.270
N6 0.730 0.273 0.726

Entry 2:
First-principles (PBE-GGA) data for a relaxed structure of Ba2GdOsN6, as listed in the Open Quantum Materials Database.

Spin magnetization, μB/f.u.: 0.04
Energy, eV/atom: -6.979

Lattice parameters (Å, degrees): 6.054 6.054 6.054 120.01 120.01 89.99
Sites, in units of the cell vectors:
Ba1 0.250 0.750 0.500
Ba2 0.750 0.250 0.500
Gd1 0.000 0.000 0.000
Os1 0.500 0.500 0.000
N1 0.271 0.726 0.997
N2 0.272 0.272 0.000
N3 0.274 0.271 0.545
N4 0.726 0.729 0.455
N5 0.728 0.728 0.000
N6 0.729 0.274 0.003

Entry 3:
First-principles (PBE-GGA) data for a relaxed structure of BaGdNi, as listed in the Open Quantum Materials Database.

Spin magnetization, μB/f.u.: 0.00
Energy, eV/atom: -3.158

Lattice parameters (Å, degrees): 6.953 6.953 6.953 90.00 90.00 90.00
Sites, in units of the cell vectors:
Ba1 0.000 0.000 0.000
Ba2 0.000 0.500 0.500
Ba3 0.500 0.000 0.500
Ba4 0.500 0.500 0.000
Gd1 0.250 0.250 0.750
Gd2 0.250 0.750 0.250
Gd3 0.750 0.250 0.250
Gd4 0.750 0.750 0.750
Ni1 0.250 0.250 0.250
Ni2 0.250 0.750 0.750
Ni3 0.750 0.250 0.750
Ni4 0.750 0.750 0.250